Record 1
The following is a PBE calculation of crystalline TiV2N at its relaxed geometry, from Alexandria.

Summary:
As for the energy above the most stable polymorph in this dataset: 1709 meV per atom.

a = 4.0274 Å, b = 4.0274 Å, c = 4.0274 Å
α = 60.00°, β = 60.00°, γ = 60.00°
With the nearest neighbours (Å) after each atom.
Positions (direct):
1 V 0.2500 0.2500 0.2500  4 Ti 2.47, 4 N 2.47
2 V 0.7500 0.7500 0.7500  4 Ti 2.47, 4 N 2.47
3 Ti 0.5000 0.5000 0.5000  8 V 2.47
4 N 0.0000 0.0000 0.0000  8 V 2.47

---

Record 2
The following is a PBE calculation of crystalline RbLiPtO3 at its relaxed geometry, from Alexandria.

Summary:
Its raw total energy is -4.8945 eV per atom.

a = 5.9560 Å, b = 5.6955 Å, c = 5.9215 Å
α = 118.74°, β = 90.00°, γ = 90.00°
With the nearest neighbours (Å) after each atom.
Positions (direct):
1 Rb 0.7500 0.2852 0.5704  8 O 2.85-3.07, 1 Li 3.18
2 Rb 0.2500 0.7148 0.4296  8 O 2.85-3.07, 1 Li 3.18
3 Li 0.2500 0.4088 0.8176  1 O 1.94
4 Li 0.7500 0.5912 0.1824  1 O 1.94
5 Pt 0.2500 0.0277 0.0555  5 O 2.01-2.04
6 Pt 0.7500 0.9723 0.9445  5 O 2.01-2.04
7 O 0.2500 0.2216 0.4431  1 Li 1.94, 1 Pt 2.01
8 O 0.0000 0.2389 0.0000  2 Pt 2.04
9 O 0.5000 0.7611 0.0000  2 Pt 2.04
10 O 0.5000 0.2389 0.0000  2 Pt 2.04
11 O 0.0000 0.7611 0.0000  2 Pt 2.04
12 O 0.7500 0.7784 0.5569  1 Li 1.94, 1 Pt 2.01

---

Record 3
The following is a PBE calculation of crystalline TeIr2Se at its relaxed geometry, from Alexandria.

Summary:
As for the energy above the most stable polymorph in this dataset: 538 meV per atom.

a = 4.7456 Å, b = 4.7456 Å, c = 3.1543 Å
α = 90.00°, β = 90.00°, γ = 96.82°
With the nearest neighbours (Å) after each atom.
Positions (direct):
1 Ir 0.0000 0.0000 0.0000  4 Te 2.85, 4 Se 2.85, 4 Ir 3.15
2 Ir 0.5000 0.5000 0.0000  4 Se 2.85, 4 Te 2.85, 4 Ir 3.15
3 Se 0.5000 0.0000 0.5000  8 Ir 2.85, 2 Te 3.15, 2 Se 3.15
4 Te 0.0000 0.5000 0.5000  8 Ir 2.85, 2 Se 3.15, 2 Te 3.15